# NbCuOsO6

A geometry-optimized NbCuOsO6 structure (PBE-GGA, Alexandria via LeMat-Bulk).

Cell: 5.1096 5.1096 9.1083 Å, 90.00 90.00 120.00°
Element x y z (fractional)
Nb: 0.3333 0.6667 0.2500
Nb: 0.6667 0.3333 0.7500
Cu: 0.0000 0.0000 0.0000
Cu: 0.0000 0.0000 0.5000
Os: 0.6667 0.3333 0.2500
Os: 0.3333 0.6667 0.7500
O: 0.6581 0.6503 0.1300
O: 0.9923 0.3419 0.1300
O: 0.3419 0.9923 0.6300
O: 0.0077 0.6581 0.8700
O: 0.3497 0.3419 0.3700
O: 0.9923 0.6503 0.3700
O: 0.6503 0.9923 0.8700
O: 0.6581 0.0077 0.3700
O: 0.0077 0.3497 0.6300
O: 0.3497 0.0077 0.1300
O: 0.6503 0.6581 0.6300
O: 0.3419 0.3497 0.8700

---

# Nb2CuOsO

A geometry-optimized Nb2CuOsO structure (PBE-GGA, Alexandria via LeMat-Bulk).

Cell: 4.7905 4.6037 4.7905 Å, 90.00 90.00 90.00°
Element x y z (fractional)
Nb: 0.0000 0.0000 0.5000
Nb: 0.5000 0.0000 0.0000
Os: 0.0000 0.0000 0.0000
O: 0.5000 0.5000 0.5000
Cu: 0.0000 0.5000 0.0000

---

# NbCuPO2

A geometry-optimized NbCuPO2 structure (PBE-GGA, Alexandria via LeMat-Bulk).

## Properties
energy above the lowest structure with this stoichiometry: 0.000 eV per formula unit

Cell: 3.8443 3.8443 5.4422 Å, 90.00 90.00 90.00°
Element x y z (fractional)
P: 0.0000 0.0000 0.5000
Nb: 0.0000 0.0000 0.0000
O: 0.0000 0.5000 0.0000
O: 0.5000 0.0000 0.0000
Cu: 0.5000 0.5000 0.5000

---

# NbCu3P4O16

A geometry-optimized NbCu3P4O16 structure (PBE-GGA, Alexandria via LeMat-Bulk).

Cell: 5.2371 10.0658 6.1239 Å, 90.00 90.00 88.58°
Element x y z (fractional)
Nb: 0.9606 0.2857 0.2500
Cu: 0.1331 0.6870 0.7500
Cu: 0.3571 0.1889 0.7500
Cu: 0.6365 0.8126 0.2500
P: 0.0799 0.6170 0.2500
P: 0.3990 0.1042 0.2500
P: 0.5624 0.8874 0.7500
P: 0.9494 0.4000 0.7500
O: 0.1137 0.4543 0.2500
O: 0.2254 0.6665 0.0505
O: 0.2254 0.6665 0.4495
O: 0.2358 0.3674 0.7500
O: 0.2742 0.8564 0.7500
O: 0.2318 0.1725 0.0621
O: 0.2318 0.1725 0.4379
O: 0.3909 0.9557 0.2500
O: 0.5774 0.0412 0.7500
O: 0.7124 0.8275 0.5530
O: 0.7124 0.8275 0.9470
O: 0.6728 0.1566 0.2500
O: 0.7904 0.6389 0.2500
O: 0.8175 0.3324 0.5451
O: 0.8175 0.3324 0.9549
O: 0.8925 0.5487 0.7500

---

# NbCuPO2

A geometry-optimized NbCuPO2 structure (PBE-GGA, Alexandria via LeMat-Bulk).

## Properties
energy above the lowest structure with this stoichiometry: 4.947 eV per formula unit

Cell: 3.7177 3.7177 4.6006 Å, 90.00 90.00 90.00°
Element x y z (fractional)
P: 0.0000 0.0000 0.5000
Nb: 0.5000 0.5000 0.5000
O: 0.0000 0.5000 0.0000
O: 0.5000 0.0000 0.0000
Cu: 0.0000 0.0000 0.0000

---

# NbCuP2O

A geometry-optimized NbCuP2O structure (PBE-GGA, Alexandria via LeMat-Bulk).

## Properties
energy above the lowest structure with this stoichiometry: 0.000 eV per formula unit

Cell: 4.9388 4.9388 3.8494 Å, 90.00 90.00 90.00°
Element x y z (fractional)
P: 0.0000 0.5000 0.0000
P: 0.5000 0.0000 0.0000
Nb: 0.0000 0.0000 0.0000
O: 0.0000 0.0000 0.5000
Cu: 0.5000 0.5000 0.5000

---

# NbCuP2O

A geometry-optimized NbCuP2O structure (PBE-GGA, Alexandria via LeMat-Bulk).

## Properties
energy above the lowest structure with this stoichiometry: 2.017 eV per formula unit

Cell: 4.5616 4.5616 3.5429 Å, 90.00 90.00 90.00°
Element x y z (fractional)
P: 0.0000 0.5000 0.0000
P: 0.5000 0.0000 0.0000
Nb: 0.5000 0.5000 0.5000
O: 0.0000 0.0000 0.5000
Cu: 0.0000 0.0000 0.0000

---

# Ti3NbCu2P6O24

A geometry-optimized Ti3NbCu2P6O24 structure (PBE-GGA, Alexandria via LeMat-Bulk).

Cell: 8.6895 8.6895 8.6895 Å, 60.22 60.22 60.22°
Element x y z (fractional)
Ti: 0.1420 0.1420 0.1420
Ti: 0.3587 0.3587 0.3587
Ti: 0.6422 0.6422 0.6422
Nb: 0.8599 0.8599 0.8599
Cu: 0.0032 0.0032 0.0032
Cu: 0.4997 0.4997 0.4997
P: 0.7495 0.0408 0.4557
P: 0.0408 0.4557 0.7495
P: 0.5331 0.2570 0.9606
P: 0.9606 0.5331 0.2570
P: 0.2570 0.9606 0.5331
P: 0.4557 0.7495 0.0408
O: 0.3106 0.1226 0.4956
O: 0.4956 0.3106 0.1226
O: 0.9160 0.0568 0.2693
O: 0.1226 0.4956 0.3106
O: 0.8064 0.0024 0.6187
O: 0.5855 0.2296 0.4402
O: 0.0568 0.2693 0.9160
O: 0.2296 0.4402 0.5855
O: 0.3754 0.1952 0.0004
O: 0.4402 0.5855 0.2296
O: 0.7250 0.0913 0.9427
O: 0.0004 0.3754 0.1952
O: 0.0024 0.6187 0.8064
O: 0.2693 0.9160 0.0568
O: 0.5529 0.4190 0.7708
O: 0.6187 0.8064 0.0024
O: 0.7708 0.5529 0.4190
O: 0.9427 0.7250 0.0913
O: 0.4190 0.7708 0.5529
O: 0.1952 0.0004 0.3754
O: 0.8765 0.5001 0.6950
O: 0.0913 0.9427 0.7250
O: 0.5001 0.6950 0.8765
O: 0.6950 0.8765 0.5001

---

# PaNbCu2O8

A geometry-optimized PaNbCu2O8 structure (PBE-GGA, Alexandria via LeMat-Bulk).

Cell: 5.7986 5.7986 5.7986 Å, 108.92 108.92 110.58°
Element x y z (fractional)
Pa: 0.0000 0.0000 0.0000
Nb: 0.2500 0.7500 0.5000
Cu: 0.7500 0.2500 0.5000
Cu: 0.5000 0.5000 0.0000
O: 0.3559 0.0279 0.3279
O: 0.2959 0.4909 0.1950
O: 0.2959 0.1010 0.8050
O: 0.7000 0.0279 0.6721
O: 0.8990 0.7041 0.1950
O: 0.9721 0.3000 0.3279
O: 0.9721 0.6441 0.6721
O: 0.5091 0.7041 0.8050

---

# PaNbCuO6

A geometry-optimized PaNbCuO6 structure (PBE-GGA, Alexandria via LeMat-Bulk).

Cell: 5.5624 5.5624 8.7729 Å, 90.00 90.00 120.00°
Element x y z (fractional)
Pa: 0.3333 0.6667 0.2500
Pa: 0.6667 0.3333 0.7500
Nb: 0.6667 0.3333 0.2500
Nb: 0.3333 0.6667 0.7500
Cu: 0.0000 0.0000 0.0000
Cu: 0.0000 0.0000 0.5000
O: 0.6657 0.6440 0.1304
O: 0.9783 0.3343 0.1304
O: 0.3343 0.9783 0.6304
O: 0.0217 0.6657 0.8696
O: 0.3560 0.3343 0.3696
O: 0.9783 0.6440 0.3696
O: 0.6440 0.9783 0.8696
O: 0.6657 0.0217 0.3696
O: 0.0217 0.3560 0.6304
O: 0.3560 0.0217 0.1304
O: 0.6440 0.6657 0.6304
O: 0.3343 0.3560 0.8696

---

# NbCuPbO5

A geometry-optimized NbCuPbO5 structure (PBE-GGA, Alexandria via LeMat-Bulk).

Cell: 5.7916 5.7916 7.6491 Å, 101.66 101.66 111.95°
Element x y z (fractional)
Nb: 0.0000 0.0000 0.5000
Nb: 0.0000 0.0000 0.0000
Cu: 0.6729 0.3271 0.2500
Cu: 0.3271 0.6729 0.7500
Pb: 0.3261 0.6739 0.2500
Pb: 0.6739 0.3261 0.7500
O: 0.0604 0.9396 0.2500
O: 0.9396 0.0604 0.7500
O: 0.8644 0.2668 0.0851
O: 0.1356 0.7332 0.9149
O: 0.7332 0.1356 0.4149
O: 0.2668 0.8644 0.5851
O: 0.7106 0.6371 0.4203
O: 0.2894 0.3629 0.5797
O: 0.3629 0.2894 0.0797
O: 0.6371 0.7106 0.9203

---

# NbCuPb2O5

A geometry-optimized NbCuPb2O5 structure (PBE-GGA, Alexandria via LeMat-Bulk).

Cell: 3.2468 8.2136 10.5293 Å, 90.00 90.00 101.40°
Element x y z (fractional)
Nb: 0.7828 0.5656 0.5088
Nb: 0.2172 0.4344 0.0088
Cu: 0.5507 0.1014 0.9542
Cu: 0.4493 0.8986 0.4542
Pb: 0.9022 0.8044 0.7873
Pb: 0.1277 0.2554 0.6870
Pb: 0.0978 0.1956 0.2873
Pb: 0.8723 0.7446 0.1870
O: 0.3403 0.6805 0.0262
O: 0.7117 0.4235 0.8867
O: 0.5048 0.0097 0.7852
O: 0.2771 0.5542 0.6355
O: 0.9045 0.8090 0.5531
O: 0.6597 0.3195 0.5262
O: 0.2883 0.5765 0.3867
O: 0.4952 0.9903 0.2852
O: 0.7229 0.4458 0.1355
O: 0.0955 0.1910 0.0531

---

# PuNbCuO6

A geometry-optimized PuNbCuO6 structure (PBE-GGA, Alexandria via LeMat-Bulk).

Cell: 5.4516 5.4516 8.9700 Å, 90.00 90.00 120.00°
Element x y z (fractional)
Pu: 0.3333 0.6667 0.2500
Pu: 0.6667 0.3333 0.7500
Nb: 0.6667 0.3333 0.2500
Nb: 0.3333 0.6667 0.7500
Cu: 0.0000 0.0000 0.0000
Cu: 0.0000 0.0000 0.5000
O: 0.6552 0.6454 0.1324
O: 0.9901 0.3448 0.1324
O: 0.3448 0.9901 0.6324
O: 0.0099 0.6552 0.8676
O: 0.3546 0.3448 0.3676
O: 0.9901 0.6454 0.3676
O: 0.6454 0.9901 0.8676
O: 0.6552 0.0099 0.3676
O: 0.0099 0.3546 0.6324
O: 0.3546 0.0099 0.1324
O: 0.6454 0.6552 0.6324
O: 0.3448 0.3546 0.8676

---

# Rb2NbCuO4

A geometry-optimized Rb2NbCuO4 structure (PBE-GGA, Alexandria via LeMat-Bulk).

Cell: 5.8624 5.8624 5.8624 Å, 96.00 116.60 116.60°
Element x y z (fractional)
Rb: 0.5000 0.7500 0.2500
Rb: 0.0000 0.0000 0.0000
Nb: 0.0000 0.5000 0.5000
Cu: 0.5000 0.2500 0.7500
O: 0.6553 0.4158 0.5125
O: 0.0967 0.2395 0.5842
O: 0.9033 0.4875 0.1428
O: 0.3447 0.8572 0.7605

---

# Rb2NbCu2O6

A geometry-optimized Rb2NbCu2O6 structure (PBE-GGA, Alexandria via LeMat-Bulk).

Cell: 5.9374 5.9374 6.8473 Å, 64.31 64.31 60.00°
Element x y z (fractional)
Rb: 0.7859 0.7859 0.6423
Rb: 0.2141 0.2141 0.3577
Nb: 0.0000 0.0000 0.0000
Cu: 0.4035 0.4035 0.7895
Cu: 0.5965 0.5965 0.2105
O: 0.7750 0.7750 0.2056
O: 0.2444 0.7750 0.2056
O: 0.7750 0.2444 0.2056
O: 0.2250 0.7556 0.7944
O: 0.7556 0.2250 0.7944
O: 0.2250 0.2250 0.7944

---

# RbNb4Cu3O12

A geometry-optimized RbNb4Cu3O12 structure (PBE-GGA, Alexandria via LeMat-Bulk).

Cell: 6.7214 6.7214 6.7214 Å, 109.47 109.47 109.47°
Element x y z (fractional)
Rb: 0.0000 0.0000 0.0000
Nb: 0.5000 0.0000 0.0000
Nb: 0.5000 0.5000 0.5000
Nb: 0.0000 0.5000 0.0000
Nb: 0.0000 0.0000 0.5000
Cu: 0.0000 0.5000 0.5000
Cu: 0.5000 0.5000 0.0000
Cu: 0.5000 0.0000 0.5000
O: 0.3054 0.8127 0.1181
O: 0.6946 0.1873 0.8819
O: 0.6946 0.8127 0.5074
O: 0.8819 0.6946 0.1873
O: 0.8127 0.1181 0.3054
O: 0.1873 0.4926 0.3054
O: 0.4926 0.3054 0.1873
O: 0.1873 0.8819 0.6946
O: 0.3054 0.1873 0.4926
O: 0.1181 0.3054 0.8127
O: 0.8127 0.5074 0.6946
O: 0.5074 0.6946 0.8127

---

# Rb2NbCuO

A geometry-optimized Rb2NbCuO structure (PBE-GGA, Alexandria via LeMat-Bulk).

Cell: 6.8513 3.5135 6.8513 Å, 90.00 90.00 90.00°
Element x y z (fractional)
O: 0.0000 0.5000 0.0000
Nb: 0.5000 0.5000 0.5000
Cu: 0.0000 0.0000 0.0000
Rb: 0.0000 0.0000 0.5000
Rb: 0.5000 0.0000 0.0000

---

# NbCuRe2O

A geometry-optimized NbCuRe2O structure (PBE-GGA, Alexandria via LeMat-Bulk).

Cell: 4.9227 3.8057 4.9227 Å, 90.00 90.00 90.00°
Element x y z (fractional)
Re: 0.0000 0.0000 0.5000
Re: 0.5000 0.0000 0.0000
Nb: 0.0000 0.0000 0.0000
O: 0.0000 0.5000 0.0000
Cu: 0.5000 0.5000 0.5000

---

# NbCu2RhO6

A geometry-optimized NbCu2RhO6 structure (PBE-GGA, Alexandria via LeMat-Bulk).

Cell: 5.2048 5.2041 5.6189 Å, 90.00 117.60 120.00°
Element x y z (fractional)
Nb: 0.0164 0.0077 0.0101
Cu: 0.6088 0.8038 0.3986
Cu: 0.4892 0.2441 0.7192
Rh: 0.9853 0.4921 0.4633
O: 0.4872 0.8741 0.6932
O: 0.4827 0.0980 0.2106
O: 0.8411 0.7420 0.2107
O: 0.1268 0.3838 0.2107
O: 0.8331 0.6120 0.6931
O: 0.0950 0.2199 0.6930

---

| no. | magnetic moment (μB/f.u.) | final energy (eV per atom) | raw formation energy (eV/atom) |
| --- | --- | --- | --- |
| 1 | 1.737 | -7.489 | -1.36 |
| 2 | 0.002 | -6.715 | 1.37 |
| 3 | 0.000 | -6.903 | -1.00 |
| 4 | 0.873 | -6.881 | -1.74 |
| 5 | 0.002 | -5.913 | -0.02 |
| 6 | 0.000 | -6.049 | -0.06 |
| 7 | 0.633 | -5.646 | 0.34 |
| 8 | 1.101 | -7.655 | -2.28 |
| 9 | 0.026 | -7.402 | -1.78 |
| 10 | 1.021 | -8.228 | -2.29 |
| 11 | 1.124 | -6.780 | -1.45 |
| 12 | 0.000 | -6.573 | -1.42 |
| 13 | 1.999 | -8.509 | -2.04 |
| 14 | 0.031 | -6.290 | -1.80 |
| 15 | 3.099 | -5.970 | -1.43 |
| 16 | 0.002 | -7.561 | -1.91 |
| 17 | 4.939 | -3.692 | 0.52 |
| 18 | 1.554 | -7.353 | 1.45 |
| 19 | 1.981 | -6.719 | -1.18 |